# Sr3TaV | Alexandria | GGA-PBE | optimized geometry
data_Sr3TaV
_chemical_formula_sum 'Sr3 Ta1 V1'
_cell_length_a 5.997
_cell_length_b 5.997
_cell_length_c 5.997
_cell_angle_alpha 90.00
_cell_angle_beta 90.00
_cell_angle_gamma 90.00
_symmetry_space_group_name_H-M 'P m -3 m'
_symmetry_Int_Tables_number 221
_symmetry_space_group_name_Hall '-P 4 2 3'
loop_
_atom_site_label
_atom_site_fract_x
_atom_site_fract_y
_atom_site_fract_z
Sr1 0.000 0.000 0.500
Ta1 0.500 0.500 0.500
V1 0.000 0.000 0.000
# - Energy relative to the lowest polymorph listed for this composition: 77 meV per atom
# - Formation enthalpy at 0 K: 1.637 eV per atom